[1]
Entry from the Alexandria database: a geometry-optimized Er5Bi4Sb structure (PBE).

Results
Spin magnetization   0.00 μB/cell
V   613.5 Å³/cell
Density of states at the Fermi level   0.1649 states/eV/atom
Formation energy from raw total energies   -0.868 eV per atom

Cell: 9.8992 9.8992 6.2606 Å, 90.00 90.00 90.00°
Closest atoms and distances in Å follow each position.
Space group I4/m (No. 87)
Symmetry-distinct sites (fractional):
Er1 0.0000 0.0000 0.0000  2 Sb 3.13, 4 Bi 3.13
Er2 0.0994 0.2956 0.5000  1 Sb 3.09, 5 Bi 3.13-3.16
Bi1 0.0984 0.3007 0.0000  6 Er 3.13-3.16
Sb1 0.0000 0.0000 0.5000  6 Er 3.09-3.13

[2]
Entry from the Alexandria database: a geometry-optimized Er5Bi4Sb structure (PBE).

Results
Spin magnetization   0.00 μB/cell
V   612.8 Å³/cell
Density of states at the Fermi level   0.1907 states/eV/atom
Formation energy from raw total energies   -0.868 eV per atom

Cell: 4.4239 6.2578 22.1362 Å, 90.00 90.00 90.00°
Closest atoms and distances in Å follow each position.
Space group Immm (No. 71)
Symmetry-distinct sites (fractional):
Er1 0.0000 0.0000 0.0000  2 Sb 3.13, 4 Bi 3.13
Er2 0.0000 0.0000 0.2006  6 Bi 3.13-3.14
Er3 0.0000 0.0000 0.4028  2 Sb 3.09, 4 Bi 3.13-3.15
Bi1 0.0000 0.5000 0.1988  6 Er 3.13-3.15
Bi2 0.0000 0.5000 0.3999  6 Er 3.13-3.14
Sb1 0.0000 0.5000 0.0000  6 Er 3.09-3.13

[3]
Entry from the Alexandria database: a geometry-optimized Er4BiSb3 structure (PBE).

Results
Spin magnetization   0.00 μB/cell
V   236.3 Å³/cell
Density of states at the Fermi level   0.0650 states/eV/atom
Formation energy from raw total energies   -1.025 eV per atom

Cell: 6.1820 6.1820 6.1820 Å, 90.00 90.00 90.00°
Closest atoms and distances in Å follow each position.
Space group Pm-3m (No. 221)
Symmetry-distinct sites (fractional):
Er1 0.0000 0.0000 0.0000  6 Sb 3.09
Er2 0.0000 0.5000 0.5000  2 Bi 3.09, 4 Sb 3.09
Bi1 0.5000 0.5000 0.5000  6 Er 3.09
Sb1 0.0000 0.0000 0.5000  6 Er 3.09

[4]
Entry from the Alexandria database: a geometry-optimized Er4BiSb2Se structure (PBE).

Results
Spin magnetization   0.00 μB/cell
V   226.1 Å³/cell
Density of states at the Fermi level   0.1787 states/eV/atom
Formation energy from raw total energies   -1.173 eV per atom

Cell: 7.4523 4.3105 7.4608 Å, 90.00 109.40 90.00°
Closest atoms and distances in Å follow each position.
Space group P2/m (No. 10)
Symmetry-distinct sites (fractional):
Er1 0.2483 0.0000 0.2428  1 Se 3.01, 3 Sb 3.02-3.08, 2 Bi 3.07
Er2 0.2516 0.5000 0.7559  3 Sb 3.02-3.07, 2 Se 3.02, 1 Bi 3.07
Bi1 0.5000 0.5000 0.5000  6 Er 3.07
Sb1 0.0000 0.0000 0.5000  6 Er 3.07-3.08
Sb2 0.0000 0.5000 0.0000  6 Er 3.02
Se1 0.5000 0.0000 0.0000  6 Er 3.01-3.02

[5]
Entry from the Alexandria database: a geometry-optimized Er6BiSb3Se2 structure (PBE).

Results
Spin magnetization   0.00 μB/cell
V   662.0 Å³/cell
Density of states at the Fermi level   0.3464 states/eV/atom
Formation energy from raw total energies   -1.244 eV per atom

Cell: 18.5751 4.2839 8.5400 Å, 90.00 103.06 90.00°
Closest atoms and distances in Å follow each position.
Space group C2/m (No. 12)
Symmetry-distinct sites (fractional):
Er1 0.0050 0.0000 0.2579  1 Se 2.97, 3 Sb 2.99-3.06, 2 Bi 3.06
Er2 0.1691 0.5000 0.5793  3 Se 2.93-2.98, 3 Sb 3.05-3.06
Er3 0.1707 0.5000 0.0906  3 Sb 2.99-3.07, 2 Se 3.00, 1 Bi 3.09
Bi1 0.0000 0.5000 0.0000  6 Er 3.06-3.09
Sb1 0.0000 0.5000 0.5000  6 Er 2.99-3.06
Sb2 0.1640 0.0000 0.8308  6 Er 2.99-3.07
Se1 0.1692 0.0000 0.3365  6 Er 2.93-3.00

[6]
Entry from the Alexandria database: a geometry-optimized Er4Bi2SbSe structure (PBE).

Results
Spin magnetization   0.00 μB/cell
V   229.2 Å³/cell
Density of states at the Fermi level   0.1861 states/eV/atom
Formation energy from raw total energies   -1.097 eV per atom

Cell: 7.4825 4.3284 7.5042 Å, 90.00 109.40 90.00°
Closest atoms and distances in Å follow each position.
Space group P2/m (No. 10)
Symmetry-distinct sites (fractional):
Er1 0.2428 0.0000 0.2382  2 Se 3.00, 1 Sb 3.03, 3 Bi 3.09-3.12
Er2 0.2492 0.5000 0.7599  1 Se 2.99, 2 Sb 3.03, 3 Bi 3.09-3.12
Bi1 0.0000 0.0000 0.5000  6 Er 3.09
Bi2 0.5000 0.5000 0.5000  6 Er 3.12
Sb1 0.5000 0.0000 0.0000  6 Er 3.03
Se1 0.0000 0.5000 0.0000  6 Er 2.99-3.00

[7]
Entry from the Alexandria database: a geometry-optimized Er6BiSb2Se3 structure (PBE).

Results
Spin magnetization   0.00 μB/cell
V   635.8 Å³/cell
Density of states at the Fermi level   0.4480 states/eV/atom
Formation energy from raw total energies   -1.341 eV per atom

Cell: 18.3831 4.2199 8.4178 Å, 90.00 103.20 90.00°
Closest atoms and distances in Å follow each position.
Space group C2/m (No. 12)
Symmetry-distinct sites (fractional):
Er1 0.0026 0.0000 0.2361  3 Se 2.89-2.92, 1 Sb 3.03, 2 Bi 3.07
Er2 0.1644 0.5000 0.0888  3 Se 2.94, 3 Sb 3.03
Er3 0.1722 0.5000 0.5779  3 Se 2.90-2.94, 2 Sb 3.02, 1 Bi 3.08
Bi1 0.0000 0.5000 0.5000  6 Er 3.07-3.08
Sb1 0.1665 0.0000 0.8322  6 Er 3.02-3.03
Se1 0.0000 0.5000 0.0000  6 Er 2.89-2.94
Se2 0.1658 0.0000 0.3322  6 Er 2.90-2.94

[8]
Entry from the Alexandria database: a geometry-optimized Sm2Er3Bi2Sb2 structure (PBE).

Results
Spin magnetization   0.00 μB/cell
V   554.7 Å³/cell
Density of states at the Fermi level   0.7387 states/eV/atom
Formation energy from raw total energies   -0.607 eV per atom

Cell: 6.0370 6.0370 15.2195 Å, 90.00 90.00 90.00°
Closest atoms and distances in Å follow each position.
Space group I4/mmm (No. 139)
Symmetry-distinct sites (fractional):
Sm1 0.0000 0.0000 0.0916  1 Sm 2.79
Er1 0.0000 0.0000 0.5000  4 Sb 3.02, 2 Bi 3.09
Er2 0.0000 0.5000 0.2500  4 Bi 3.10
Bi1 0.0000 0.0000 0.2970  5 Er 3.09-3.10, 1 Sm 3.13
Sb1 0.0000 0.5000 0.0000  2 Er 3.02, 4 Sm 3.32

[9]
Entry from the Alexandria database: a geometry-optimized TbErBiSb structure (PBE).

Results
Spin magnetization   0.00 μB/cell
V   122.3 Å³/cell
Density of states at the Fermi level   0.1461 states/eV/atom
Formation energy from raw total energies   -0.978 eV per atom

Cell: 4.4227 4.4227 6.2502 Å, 90.00 90.00 90.00°
Closest atoms and distances in Å follow each position.
Space group P4/mmm (No. 123)
Symmetry-distinct sites (fractional):
Tb1 0.0000 0.0000 0.0000  2 Sb 3.13, 4 Bi 3.13
Er1 0.5000 0.5000 0.5000  2 Bi 3.13, 4 Sb 3.13
Bi1 0.5000 0.5000 0.0000  2 Er 3.13, 4 Tb 3.13
Sb1 0.0000 0.0000 0.5000  2 Tb 3.13, 4 Er 3.13

[10]
Entry from the Alexandria database: a geometry-optimized Er6Bi3SbTe2 structure (PBE).

Results
Spin magnetization   0.00 μB/cell
V   717.9 Å³/cell
Density of states at the Fermi level   0.1797 states/eV/atom
Formation energy from raw total energies   -1.026 eV per atom

Cell: 7.6056 13.1953 7.5877 Å, 90.00 109.48 90.00°
Closest atoms and distances in Å follow each position.
Space group C2/m (No. 12)
Symmetry-distinct sites (fractional):
Er1 0.2425 0.0000 0.2485  1 Sb 3.06, 3 Bi 3.11-3.14, 2 Te 3.13
Er2 0.2460 0.1633 0.7485  1 Sb 3.06, 3 Bi 3.09-3.13, 2 Te 3.12-3.13
Bi1 0.0000 0.1696 0.0000  6 Er 3.09-3.13
Bi2 0.0000 0.5000 0.0000  6 Er 3.09-3.14
Sb1 0.0000 0.0000 0.5000  6 Er 3.06
Te1 0.0000 0.3342 0.5000  6 Er 3.12-3.13

[11]
Entry from the Alexandria database: a geometry-optimized Er6Bi2SbTe3 structure (PBE).

Results
Spin magnetization   0.00 μB/cell
V   708.5 Å³/cell
Density of states at the Fermi level   0.4490 states/eV/atom
Formation energy from raw total energies   -1.088 eV per atom

Cell: 19.0601 4.3726 8.7265 Å, 90.00 103.07 90.00°
Closest atoms and distances in Å follow each position.
Space group C2/m (No. 12)
Symmetry-distinct sites (fractional):
Er1 0.9996 0.0000 0.2403  2 Sb 3.03, 1 Bi 3.10, 3 Te 3.12-3.15
Er2 0.1624 0.5000 0.0814  1 Sb 3.02, 2 Bi 3.09, 3 Te 3.09-3.15
Er3 0.1662 0.5000 0.5823  3 Bi 3.08-3.10, 3 Te 3.09
Bi1 0.1668 0.0000 0.3334  6 Er 3.08-3.10
Sb1 0.0000 0.5000 0.0000  6 Er 3.02-3.03
Te1 0.0000 0.5000 0.5000  6 Er 3.09-3.15
Te2 0.1682 0.0000 0.8338  6 Er 3.09-3.15

[12]
Entry from the Alexandria database: a geometry-optimized Er4BiSbTe2 structure (PBE).

Results
Spin magnetization   0.00 μB/cell
V   234.9 Å³/cell
Density of states at the Fermi level   0.4742 states/eV/atom
Formation energy from raw total energies   -1.115 eV per atom

Cell: 7.5292 4.3709 7.5797 Å, 90.00 109.64 90.00°
Closest atoms and distances in Å follow each position.
Space group P2/m (No. 10)
Symmetry-distinct sites (fractional):
Er1 0.2410 0.0000 0.2415  2 Sb 3.03, 1 Bi 3.09, 3 Te 3.09-3.14
Er2 0.2455 0.5000 0.7546  1 Sb 3.03, 3 Te 3.08-3.14, 2 Bi 3.09
Bi1 0.0000 0.0000 0.5000  6 Er 3.09
Sb1 0.0000 0.5000 0.0000  6 Er 3.03
Te1 0.5000 0.0000 0.0000  6 Er 3.08-3.09
Te2 0.5000 0.5000 0.5000  6 Er 3.14